The following is a GGA-PBE calculation of Tl3GaI6 after structural relaxation, from the Alexandria database.

Computed properties:
formation energy (no corrections)	-0.589	eV/atom
space-group type	No. 36
E above lowest polymorph	0.00	eV/f.u.
total magnetic moment	0.000	μB/atom
calculated total energy	-25.32	eV/f.u.

CIF file:
```
data_Tl3GaI6
_chemical_formula_sum 'Tl6 Ga2 I12'
_cell_length_a 10.960
_cell_length_b 10.960
_cell_length_c 8.381
_cell_angle_alpha 90.00
_cell_angle_beta 90.00
_cell_angle_gamma 102.45
_space_group_name_H-M_alt 'P 1'
_space_group_IT_number 1
loop_
_space_group_symop_operation_xyz
'x,y,z'
loop_
_atom_site_label
_atom_site_type_symbol
_atom_site_fract_x
_atom_site_fract_y
_atom_site_fract_z
_atom_site_occupancy
Tl1 Tl 0.078 0.922 0.500 1
Tl2 Tl 0.212 0.391 0.392 1
Tl3 Tl 0.391 0.212 0.892 1
Tl4 Tl 0.609 0.788 0.392 1
Tl5 Tl 0.788 0.609 0.892 1
Tl6 Tl 0.922 0.078 0.000 1
Ga1 Ga 0.305 0.695 0.806 1
Ga2 Ga 0.695 0.305 0.306 1
I1 I 0.085 0.608 0.685 1
I2 I 0.125 0.205 0.697 1
I3 I 0.205 0.125 0.197 1
I4 I 0.299 0.701 0.112 1
I5 I 0.392 0.915 0.685 1
I6 I 0.451 0.549 0.707 1
I7 I 0.549 0.451 0.207 1
I8 I 0.608 0.085 0.185 1
I9 I 0.701 0.299 0.612 1
I10 I 0.795 0.875 0.697 1
I11 I 0.875 0.795 0.197 1
I12 I 0.915 0.392 0.185 1
```

The following is a GGA-PBE calculation of AlGaCoNi after structural relaxation, from the Alexandria database.

Computed properties:
DFT formation energy	-457	meV/atom
space-group type	No. 216
E above lowest polymorph	0.05	eV/f.u.
total magnetic moment	0.027	μB/atom
calculated total energy	-21.48	eV/f.u.

CIF file:
```
data_AlGaCoNi
_chemical_formula_sum 'Al1 Ga1 Co1 Ni1'
_cell_length_a 4.083
_cell_length_b 4.083
_cell_length_c 4.083
_cell_angle_alpha 60.00
_cell_angle_beta 60.00
_cell_angle_gamma 60.00
_space_group_name_H-M_alt 'P 1'
_space_group_IT_number 1
loop_
_space_group_symop_operation_xyz
'x,y,z'
loop_
_atom_site_label
_atom_site_type_symbol
_atom_site_fract_x
_atom_site_fract_y
_atom_site_fract_z
_atom_site_occupancy
Al1 Al 0.000 0.000 0.000 1
Ga1 Ga 0.500 0.500 0.500 1
Co1 Co 0.750 0.750 0.750 1
Ni1 Ni 0.250 0.250 0.250 1
```

The following is a GGA-PBE calculation of Mg4InPt after structural relaxation, from the Alexandria database.

Computed properties:
DFT formation energy	-14	meV/atom
space-group type	No. 216
E above lowest polymorph	1.72	eV/f.u.
total magnetic moment	0.000	μB/atom
calculated total energy	-15.24	eV/f.u.

CIF file:
```
data_Mg4InPt
_chemical_formula_sum 'Mg4 In1 Pt1'
_cell_length_a 5.549
_cell_length_b 5.549
_cell_length_c 5.549
_cell_angle_alpha 60.00
_cell_angle_beta 60.00
_cell_angle_gamma 60.00
_space_group_name_H-M_alt 'P 1'
_space_group_IT_number 1
loop_
_space_group_symop_operation_xyz
'x,y,z'
loop_
_atom_site_label
_atom_site_type_symbol
_atom_site_fract_x
_atom_site_fract_y
_atom_site_fract_z
_atom_site_occupancy
Mg1 Mg 0.124 0.124 0.124 1
Mg2 Mg 0.124 0.124 0.628 1
Mg3 Mg 0.124 0.628 0.124 1
Mg4 Mg 0.628 0.124 0.124 1
In1 In 0.500 0.500 0.500 1
Pt1 Pt 0.750 0.750 0.750 1
```

The following is a GGA-PBE calculation of La2DyAl12Pt3 after structural relaxation, from the Alexandria database.

Computed properties:
DFT formation energy	-186	meV/atom
space-group type	No. 166
total magnetic moment	0.000	μB/atom
calculated total energy	-80.84	eV/f.u.

CIF file:
```
data_La2DyAl12Pt3
_chemical_formula_sum 'La2 Dy1 Al12 Pt3'
_cell_length_a 8.034
_cell_length_b 8.034
_cell_length_c 8.034
_cell_angle_alpha 66.52
_cell_angle_beta 66.52
_cell_angle_gamma 66.52
_space_group_name_H-M_alt 'P 1'
_space_group_IT_number 1
loop_
_space_group_symop_operation_xyz
'x,y,z'
loop_
_atom_site_label
_atom_site_type_symbol
_atom_site_fract_x
_atom_site_fract_y
_atom_site_fract_z
_atom_site_occupancy
La1 La 0.079 0.079 0.079 1
La2 La 0.921 0.921 0.921 1
Dy1 Dy 0.500 0.500 0.500 1
Al1 Al 0.030 0.674 0.674 1
Al2 Al 0.226 0.226 0.640 1
Al3 Al 0.226 0.640 0.226 1
Al4 Al 0.326 0.326 0.970 1
Al5 Al 0.326 0.970 0.326 1
Al6 Al 0.360 0.774 0.774 1
Al7 Al 0.640 0.226 0.226 1
Al8 Al 0.674 0.030 0.674 1
Al9 Al 0.674 0.674 0.030 1
Al10 Al 0.774 0.360 0.774 1
Al11 Al 0.774 0.774 0.360 1
Al12 Al 0.970 0.326 0.326 1
Pt1 Pt 0.000 0.500 0.500 1
Pt2 Pt 0.500 0.000 0.500 1
Pt3 Pt 0.500 0.500 0.000 1
```

The following is a GGA-PBE calculation of BeSn2B2O6 after structural relaxation, from the Alexandria database.

Computed properties:
formation energy (no corrections)	-1.895	eV/atom
space-group type	No. 12
total magnetic moment	0.000	μB/atom
calculated total energy	-75.69	eV/f.u.

CIF file:
```
data_BeSn2B2O6
_chemical_formula_sum 'Be1 Sn2 B2 O6'
_cell_length_a 7.050
_cell_length_b 7.050
_cell_length_c 5.503
_cell_angle_alpha 109.90
_cell_angle_beta 109.90
_cell_angle_gamma 40.51
_space_group_name_H-M_alt 'P 1'
_space_group_IT_number 1
loop_
_space_group_symop_operation_xyz
'x,y,z'
loop_
_atom_site_label
_atom_site_type_symbol
_atom_site_fract_x
_atom_site_fract_y
_atom_site_fract_z
_atom_site_occupancy
Be1 Be 0.000 0.000 0.000 1
Sn1 Sn 0.170 0.170 0.728 1
Sn2 Sn 0.830 0.830 0.272 1
B1 B 0.400 0.400 0.127 1
B2 B 0.600 0.600 0.873 1
O1 O 0.191 0.701 0.141 1
O2 O 0.293 0.293 0.124 1
O3 O 0.299 0.809 0.859 1
O4 O 0.701 0.191 0.141 1
O5 O 0.707 0.707 0.876 1
O6 O 0.809 0.299 0.859 1
```

The following is a GGA-PBE calculation of Na3PaNb2Se6 after structural relaxation, from the Alexandria database.

Computed properties:
formation energy (no corrections)	-1.074	eV/atom
space-group type	No. 12
total magnetic moment	0.163	μB/atom
calculated total energy	-67.39	eV/f.u.

CIF file:
```
data_Na3PaNb2Se6
_chemical_formula_sum 'Na3 Pa1 Nb2 Se6'
_cell_length_a 6.537
_cell_length_b 6.537
_cell_length_c 7.661
_cell_angle_alpha 97.83
_cell_angle_beta 97.83
_cell_angle_gamma 118.76
_space_group_name_H-M_alt 'P 1'
_space_group_IT_number 1
loop_
_space_group_symop_operation_xyz
'x,y,z'
loop_
_atom_site_label
_atom_site_type_symbol
_atom_site_fract_x
_atom_site_fract_y
_atom_site_fract_z
_atom_site_occupancy
Na1 Na 0.000 0.000 0.000 1
Na2 Na 0.328 0.672 0.000 1
Na3 Na 0.672 0.328 0.000 1
Pa1 Pa 0.500 0.500 0.500 1
Nb1 Nb 0.129 0.871 0.500 1
Nb2 Nb 0.871 0.129 0.500 1
Se1 Se 0.076 0.433 0.287 1
Se2 Se 0.248 0.248 0.749 1
Se3 Se 0.433 0.076 0.287 1
Se4 Se 0.567 0.924 0.713 1
Se5 Se 0.752 0.752 0.251 1
Se6 Se 0.924 0.567 0.713 1
```

The following is a GGA-PBE calculation of ScZnGa after structural relaxation, from the Alexandria database.

Computed properties:
DFT formation energy	-408	meV/atom
space-group type	No. 38
total magnetic moment	0.000	μB/atom
calculated total energy	-11.86	eV/f.u.

CIF file:
```
data_ScZnGa
_chemical_formula_sum 'Sc2 Zn2 Ga2'
_cell_length_a 4.081
_cell_length_b 6.710
_cell_length_c 6.710
_cell_angle_alpha 35.55
_cell_angle_beta 90.00
_cell_angle_gamma 90.00
_space_group_name_H-M_alt 'P 1'
_space_group_IT_number 1
loop_
_space_group_symop_operation_xyz
'x,y,z'
loop_
_atom_site_label
_atom_site_type_symbol
_atom_site_fract_x
_atom_site_fract_y
_atom_site_fract_z
_atom_site_occupancy
Sc1 Sc 0.000 0.000 0.000 1
Sc2 Sc 0.000 0.312 0.312 1
Zn1 Zn 0.500 0.156 0.156 1
Zn2 Zn 0.500 0.821 0.821 1
Ga1 Ga 0.000 0.659 0.659 1
Ga2 Ga 0.500 0.484 0.484 1
```

The following is a GGA-PBE calculation of OsAu2Br after structural relaxation, from the Alexandria database.

Computed properties:
formation energy (no corrections)	1.044	eV/atom
space-group type	No. 122
E above lowest polymorph	1.68	eV/f.u.
total magnetic moment	0.000	μB/atom
calculated total energy	-15.28	eV/f.u.

CIF file:
```
data_OsAu2Br
_chemical_formula_sum 'Os2 Au4 Br2'
_cell_length_a 6.500
_cell_length_b 6.500
_cell_length_c 6.500
_cell_angle_alpha 98.14
_cell_angle_beta 98.14
_cell_angle_gamma 135.80
_space_group_name_H-M_alt 'P 1'
_space_group_IT_number 1
loop_
_space_group_symop_operation_xyz
'x,y,z'
loop_
_atom_site_label
_atom_site_type_symbol
_atom_site_fract_x
_atom_site_fract_y
_atom_site_fract_z
_atom_site_occupancy
Os1 Os 0.000 0.000 0.000 1
Os2 Os 0.750 0.250 0.500 1
Au1 Au 0.049 0.125 0.424 1
Au2 Au 0.375 0.951 0.076 1
Au3 Au 0.701 0.625 0.576 1
Au4 Au 0.875 0.299 0.924 1
Br1 Br 0.250 0.750 0.500 1
Br2 Br 0.500 0.500 0.000 1
```

The following is a GGA-PBE calculation of LiSmGdTm after structural relaxation, from the Alexandria database.

Computed properties:
DFT formation energy	155	meV/atom
space-group type	No. 216
total magnetic moment	1.814	μB/atom
calculated total energy	-24.57	eV/f.u.

CIF file:
```
data_LiSmGdTm
_chemical_formula_sum 'Li1 Sm1 Gd1 Tm1'
_cell_length_a 5.496
_cell_length_b 5.496
_cell_length_c 5.496
_cell_angle_alpha 60.00
_cell_angle_beta 60.00
_cell_angle_gamma 60.00
_space_group_name_H-M_alt 'P 1'
_space_group_IT_number 1
loop_
_space_group_symop_operation_xyz
'x,y,z'
loop_
_atom_site_label
_atom_site_type_symbol
_atom_site_fract_x
_atom_site_fract_y
_atom_site_fract_z
_atom_site_occupancy
Li1 Li 0.000 0.000 0.000 1
Sm1 Sm 0.250 0.250 0.250 1
Gd1 Gd 0.750 0.750 0.750 1
Tm1 Tm 0.500 0.500 0.500 1
```

The following is a GGA-PBE calculation of Ac3Mg4Zn4 after structural relaxation, from the Alexandria database.

Computed properties:
DFT formation energy	-189	meV/atom
space-group type	No. 71
total magnetic moment	0.000	μB/atom
calculated total energy	-25.88	eV/f.u.

CIF file:
```
data_Ac3Mg4Zn4
_chemical_formula_sum 'Ac3 Mg4 Zn4'
_cell_length_a 9.083
_cell_length_b 9.083
_cell_length_c 9.083
_cell_angle_alpha 150.64
_cell_angle_beta 127.53
_cell_angle_gamma 61.26
_space_group_name_H-M_alt 'P 1'
_space_group_IT_number 1
loop_
_space_group_symop_operation_xyz
'x,y,z'
loop_
_atom_site_label
_atom_site_type_symbol
_atom_site_fract_x
_atom_site_fract_y
_atom_site_fract_z
_atom_site_occupancy
Ac1 Ac 0.000 0.000 0.000 1
Ac2 Ac 0.380 0.880 0.500 1
Ac3 Ac 0.620 0.120 0.500 1
Mg1 Mg 0.014 0.325 0.689 1
Mg2 Mg 0.364 0.675 0.689 1
Mg3 Mg 0.636 0.325 0.311 1
Mg4 Mg 0.986 0.675 0.311 1
Zn1 Zn 0.225 0.225 0.000 1
Zn2 Zn 0.311 0.500 0.811 1
Zn3 Zn 0.689 0.500 0.189 1
Zn4 Zn 0.775 0.775 0.000 1
```